Here is Y3Al3Ru after structural relaxation from Alexandria via LeMat-Bulk. Energies are from PBE.

Values from the calculation:
formation energy from the elements = -484.6 meV per atom
raw total energy = -0.4545 Ry per atom
space-group type = No. 12
density of states at the Fermi level = 9.7 states/eV/cell

Geometry as POSCAR:
```
Y3Al3Ru
1.0
-0.261 0.864 3.768
-4.934 -2.478 2.218
6.300 -12.347 5.260
Y Al Ru
6 6 2
direct
0.518 0.350 0.614
0.482 0.650 0.386
0.261 0.238 0.240
0.739 0.762 0.760
0.378 0.323 0.922
0.622 0.677 0.078
0.826 0.815 0.534
0.174 0.185 0.466
0.098 0.879 0.925
0.902 0.121 0.075
0.978 0.816 0.228
0.022 0.184 0.772
0.780 0.067 0.373
0.220 0.933 0.627
```